This record from the Alexandria database describes a geometry-optimized Yb3Al3Cr2O12 structure. The functional is GGA+U.

spin magnetization: 1.1 μB per formula unit
calculated total energy: -1140.0 eV/cell

```
data_Yb3Al3Cr2O12
_cell_length_a 12.2288
_cell_length_b 12.2288
_cell_length_c 12.2288
_cell_angle_alpha 90.00
_cell_angle_beta 90.00
_cell_angle_gamma 90.00
_symmetry_space_group_name_H-M 'I a -3 d'
_symmetry_Int_Tables_number 230
_symmetry_space_group_name_Hall '-I 4bd 2c 3'
loop_
_atom_site_label
_atom_site_type_symbol
_atom_site_fract_x
_atom_site_fract_y
_atom_site_fract_z
_atom_site_occupancy
Yb1 Yb 0.0000 0.2500 0.1250 1
Al1 Al 0.0000 0.2500 0.3750 1
Cr1 Cr 0.0000 0.0000 0.0000 1
O1 O 0.0318 0.0520 0.6509 1
```